Entry from the Alexandria database: crystalline Tl2Cd3Bi2 at its relaxed geometry (GGA-PBE).

Cell: 4.630 5.726 8.498 Å, 100.11 90.00 113.85°
Element x y z (fractional)
Cd  0.700  0.400  0.138
Bi  0.597  0.194  0.761
Cd  0.000  0.000  0.000
Tl  0.134  0.267  0.421
Bi  0.403  0.806  0.239
Tl  0.866  0.733  0.579
Cd  0.300  0.600  0.862

## Properties
Calculated density: 9.558 g cm⁻³
ΔE to the lowest computed polymorph: 0 meV/atom
SG: C2/m (12)
Energy of formation from the pure elements: 0.026 eV per atom